[1]
Density functional theory data (PBE) for an optimized crystal structure of MnTlAsPt2.

Values from the calculation:
Calculated formation energy in eV per formula unit: 1.34

Unit cell a=4.785 b=4.785 c=4.714 alpha=90.00 beta=90.00 gamma=90.00
Space group P4/mmm (No. 123)
Inequivalent atoms, fractional coordinates:
Mn (0.000, 0.000, 0.000)
Tl (0.500, 0.500, 0.000)
As (0.000, 0.000, 0.500)
Pt (0.000, 0.500, 0.500)


[2]
Density functional theory data (PBE) for an optimized crystal structure of MnVAs2Pt.

Values from the calculation:
Calculated formation energy in eV per formula unit: 3.92

Unit cell a=4.459 b=4.459 c=4.812 alpha=90.00 beta=90.00 gamma=90.00
Space group P4/mmm (No. 123)
Inequivalent atoms, fractional coordinates:
Mn (0.000, 0.000, 0.000)
V (0.500, 0.500, 0.500)
As (0.000, 0.500, 0.000)
Pt (0.000, 0.000, 0.500)